# PBE TcOs2W, optimized geometry
data_TcOs2W
_cell_length_a 2.764
_cell_length_b 2.764
_cell_length_c 7.779
_cell_angle_alpha 90.00
_cell_angle_beta 90.00
_cell_angle_gamma 90.00
_symmetry_space_group_name_H-M 'P 4/m m m'
_symmetry_Int_Tables_number 123
_symmetry_space_group_name_Hall '-P 4 2'
loop_
_atom_site_label
_atom_site_type_symbol
_atom_site_fract_x
_atom_site_fract_y
_atom_site_fract_z
Tc1 Tc 0.000 0.000 0.000
Os1 Os 0.500 0.500 0.245
W1 W 0.000 0.000 0.500
# * total magnetization: 0.00 μB/f.u.
# * VASP energy: -11.385 eV per atom
# * formation energy from the elements: 0.060 eV per atom
# * excess energy over the best structure of this formula in the dataset: 7.1 kJ/mol of atoms